Compound: BaCa2SbP
Source: Alexandria
Functional: PBE-GGA
Structure: optimized geometry

- D(E_F) (states/eV/cell) = 0.00
- uncorrected formation energy (eV per formula unit) = -5.18

abc: 5.2384 5.2384 7.0381
angles: 90.00 90.00 90.00
Space group P4mm (No. 99)
Inequivalent atoms, fractional coordinates:
Ba1 0.0000 0.0000 0.0000 [1 per cell]
Ca1 0.0000 0.5000 0.4351 [2 per cell]
Sb1 0.5000 0.5000 0.1565 [1 per cell]
P1 0.0000 0.0000 0.5614 [1 per cell]